DFT (PBE-GGA) results for crystalline Tb2ZnP3Rh12 at its relaxed geometry.

Summary:
Energy of formation = -0.303 eV per atom

Cell: 8.8213 8.8213 12.9156 Å, 90.00 90.00 120.00°
Space group R-3m (No. 166, hexagonal axes)
Unique sites:
Tb 0.0000 0.0000 0.1262
Zn 0.0000 0.0000 0.5000
P 0.0000 0.5000 0.0000
Rh 0.9996 0.4998 0.1723
Rh 0.0256 0.5128 0.3812

DFT (PBE-GGA) results for crystalline NdDyTm2As4 at its relaxed geometry.

Summary:
Energy of formation = -1.505 eV per atom

Cell: 7.151 4.134 7.155 Å, 90.00 109.48 90.00°
Space group P2/m (No. 10)
Unique sites:
Nd 0.000 0.000 0.000
Dy 0.000 0.500 0.500
Tm 0.500 0.000 0.500
Tm 0.500 0.500 0.000
As 0.257 0.000 0.748
As 0.260 0.500 0.258

DFT (PBE-GGA) results for crystalline RbNa2Zn2Au2 at its relaxed geometry.

Summary:
Energy of formation = -0.209 eV per atom

Cell: 8.015 4.628 10.471 Å, 90.00 104.91 90.00°
Space group C2/m (No. 12)
Unique sites:
Rb 0.000 0.000 0.000
Na 0.138 0.000 0.413
Zn 0.079 0.500 0.738
Au 0.244 0.000 0.731

DFT (PBE-GGA) results for crystalline SrRhCl2 at its relaxed geometry.

Summary:
Uncorrected formation energy = -0.8605 eV per atom

Cell: 5.461 5.461 6.688 Å, 90.00 90.00 90.00°
Space group I4/mmm (No. 139)
Unique sites:
Sr 0.000 0.000 0.000
Rh 0.000 0.000 0.500
Cl 0.000 0.500 0.000

Calculated calculated volume (Å³/atom), listed in the same order as above: 16.12 24.93 26.81 24.93